A plane-wave DFT calculation with PBE-GGA was carried out for a geometry-optimized Zr2AlSe structure.

a = 8.420 Å, b = 8.420 Å, c = 8.420 Å
α = 23.49°, β = 23.49°, γ = 23.49°
Element x y z (fractional)
Zr 0.244 0.244 0.244
Zr 0.756 0.756 0.756
Al 0.000 0.000 0.000
Se 0.500 0.500 0.500

## Properties
The energy above the most stable polymorph in this dataset comes out at 9.71 kJ per mole of atoms. As for the uncorrected formation energy: -591.5 meV per atom. The space group is No. 166.